Entry 1:
Below is a relaxed structure of Rb3SbS3, with properties calculated at the PBEsol level.

Cell: 9.7748 9.7748 9.7748 Å, 90.00 90.00 90.00°
Space group P2_13 (No. 198)
Inequivalent atoms, fractional coordinates:
Rb 0.0600 0.0600 0.0600 [4 per cell]
Rb 0.0646 0.9354 0.4354 [4 per cell]
Rb 0.1765 0.3235 0.6765 [4 per cell]
Sb 0.2218 0.7218 0.7782 [4 per cell]
S 0.0395 0.2554 0.3475 [12 per cell]

Entry 2:
Below is a relaxed structure of RbTlSb2S, with properties calculated at the PBEsol level.

Cell: 5.9279 5.9279 6.2226 Å, 90.00 90.00 90.00°
Space group P4/mmm (No. 123)
Inequivalent atoms, fractional coordinates:
Rb 0.0000 0.0000 0.0000 [1 per cell]
Tl 0.0000 0.0000 0.5000 [1 per cell]
Sb 0.0000 0.5000 0.0000 [2 per cell]
S 0.5000 0.5000 0.5000 [1 per cell]

Entry 3:
Below is a relaxed structure of RbWSe2S, with properties calculated at the PBEsol level.

Cell: 5.4766 5.4766 5.0635 Å, 90.00 90.00 90.00°
Space group P4/mmm (No. 123)
Inequivalent atoms, fractional coordinates:
Rb 0.0000 0.0000 0.0000 [1 per cell]
W 0.5000 0.5000 0.5000 [1 per cell]
Se 0.0000 0.5000 0.0000 [2 per cell]
S 0.0000 0.0000 0.5000 [1 per cell]

Entry 4:
Below is a relaxed structure of Rb2WSeS, with properties calculated at the PBEsol level.

Cell: 6.2417 6.2417 4.7557 Å, 90.00 90.00 90.00°
Space group P4/mmm (No. 123)
Inequivalent atoms, fractional coordinates:
Rb 0.0000 0.5000 0.0000 [2 per cell]
W 0.0000 0.0000 0.5000 [1 per cell]
Se 0.5000 0.5000 0.5000 [1 per cell]
S 0.5000 0.5000 0.0000 [1 per cell]

Entry 5:
Below is a relaxed structure of RbSiS3, with properties calculated at the PBEsol level.

Cell: 4.6747 4.6747 4.6747 Å, 90.00 90.00 90.00°
Space group Pm-3m (No. 221)
Inequivalent atoms, fractional coordinates:
Rb 0.0000 0.0000 0.0000 [1 per cell]
Si 0.5000 0.5000 0.5000 [1 per cell]
S 0.0000 0.5000 0.5000 [3 per cell]

Entry 6:
Below is a relaxed structure of RbSiTc2S, with properties calculated at the PBEsol level.

Cell: 4.6850 4.6850 5.2118 Å, 90.00 90.00 90.00°
Space group P4/mmm (No. 123)
Inequivalent atoms, fractional coordinates:
Rb 0.0000 0.0000 0.0000 [1 per cell]
Si 0.0000 0.0000 0.5000 [1 per cell]
Tc 0.0000 0.5000 0.0000 [2 per cell]
S 0.5000 0.5000 0.5000 [1 per cell]

Entry 7:
Below is a relaxed structure of Rb3SnS, with properties calculated at the PBEsol level.

Cell: 6.2924 6.2924 6.2924 Å, 90.00 90.00 90.00°
Space group Pm-3m (No. 221)
Inequivalent atoms, fractional coordinates:
Rb 0.0000 0.0000 0.5000 [3 per cell]
Sn 0.5000 0.5000 0.5000 [1 per cell]
S 0.0000 0.0000 0.0000 [1 per cell]

Entry 8:
Below is a relaxed structure of Rb4SnS4, with properties calculated at the PBEsol level.

Cell: 13.3892 13.3892 13.3892 Å, 90.00 90.00 90.00°
Space group P-43n (No. 218)
Inequivalent atoms, fractional coordinates:
Rb 0.0851 0.1362 0.6521 [24 per cell]
Rb 0.1533 0.1533 0.1533 [8 per cell]
Sn 0.0000 0.0000 0.0000 [2 per cell]
Sn 0.0000 0.5000 0.2500 [6 per cell]
S 0.0993 0.3869 0.6527 [24 per cell]
S 0.1032 0.1032 0.8968 [8 per cell]

| no. | density of states at the Fermi level (states/eV/atom) | ΔE_f (raw) (meV/atom) |
| --- | --- | --- |
| 1 | 0.00 | -969 |
| 2 | 1.46 | 1482 |
| 3 | 1.11 | 2287 |
| 4 | 0.95 | 1102 |
| 5 | 0.81 | -369 |
| 6 | 1.13 | 3210 |
| 7 | 0.03 | -312 |
| 8 | 0.00 | -1044 |